## Tb2Pm2Dy2Ho (PBE)

Data for a geometry-optimized Tb2Pm2Dy2Ho structure.

Summary:
DFT formation energy (kJ/mol of formula units): 97
Total energy (eV/f.u.): -31.541
Size of the total moment (μB/atom): 0.01

Lattice parameters (Å, degrees): 5.695 5.695 8.780 71.07 71.07 60.00
Fractional coordinates of all 7 atoms:
Tb: 0.283 0.283 0.152
Tb: 0.717 0.717 0.848
Pm: 0.139 0.139 0.584
Pm: 0.861 0.861 0.416
Dy: 0.575 0.575 0.275
Dy: 0.425 0.425 0.725
Ho: 0.000 0.000 0.000

## Tb2PmDy4Ho (PBE)

Data for a geometry-optimized Tb2PmDy4Ho structure.

Summary:
DFT formation energy (kJ/mol of formula units): 335
Total energy (eV/f.u.): -33.523
Size of the total moment (μB/atom): 0.44

Lattice parameters (Å, degrees): 9.486 9.486 11.762 128.31 128.31 88.56
Site moments in Bohr magnetons follow the coordinates.
Fractional coordinates of all 16 atoms:
Dy: 0.252 0.750 0.501  0.33
Dy: 0.253 0.251 0.003  0.34
Dy: 0.750 0.248 0.999  0.33
Dy: 0.751 0.753 0.503  0.34
Dy: 0.249 0.247 0.497  0.34
Dy: 0.250 0.752 0.001  0.33
Dy: 0.748 0.250 0.499  0.33
Dy: 0.747 0.749 0.997  0.34
Tb: 0.500 0.000 0.500  0.30
Tb: 0.500 0.000 0.000  0.30
Tb: 0.500 0.500 0.000  0.35
Tb: 0.000 0.000 0.500  0.35
Pm: 0.000 0.500 0.500  0.28
Pm: 0.000 0.500 0.000  0.28
Ho: 0.000 0.000 0.000  0.34
Ho: 0.500 0.500 0.500  0.34

## Tb6Pm2DyHo (PBE)

Data for a geometry-optimized Tb6Pm2DyHo structure.

Summary:
DFT formation energy (kJ/mol of formula units): 112
Total energy (eV/f.u.): -45.300
Size of the total moment (μB/atom): 0.00

Lattice parameters (Å, degrees): 9.689 8.798 8.798 118.17 94.46 94.46
Fractional coordinates of all 20 atoms:
Tb: 0.620 0.498 0.709
Tb: 0.880 0.291 0.502
Tb: 0.557 0.748 0.125
Tb: 0.057 0.125 0.748
Tb: 0.380 0.502 0.291
Tb: 0.313 0.980 0.425
Tb: 0.443 0.252 0.875
Tb: 0.120 0.709 0.498
Tb: 0.687 0.020 0.575
Tb: 0.813 0.425 0.980
Tb: 0.943 0.875 0.252
Tb: 0.187 0.575 0.020
Ho: 0.750 0.593 0.407
Ho: 0.250 0.407 0.593
Pm: 0.958 0.702 0.805
Pm: 0.458 0.805 0.702
Pm: 0.542 0.195 0.298
Pm: 0.042 0.298 0.195
Dy: 0.250 0.981 0.019
Dy: 0.750 0.019 0.981

## Tb2PmDy2Ho2 (PBE)

Data for a geometry-optimized Tb2PmDy2Ho2 structure.

Summary:
DFT formation energy (kJ/mol of formula units): 11
Total energy (eV/f.u.): -32.256
Size of the total moment (μB/atom): 0.00

Lattice parameters (Å, degrees): 5.029 6.155 7.955 97.45 90.00 114.11
Fractional coordinates of all 7 atoms:
Tb: 0.143 0.286 0.429
Tb: 0.857 0.714 0.571
Pm: 0.000 0.000 0.000
Ho: 0.428 0.857 0.287
Ho: 0.572 0.143 0.713
Dy: 0.285 0.571 0.857
Dy: 0.715 0.429 0.143